Compound: La2TbEr9
Source: Alexandria via LeMat-Bulk
Functional: PBE-GGA
Structure: relaxed

Cell lengths 5.025, 5.025, 15.099 Å; angles 90.00, 90.00, 90.00 degrees
Atoms (fractional coordinates):
La 0.000 0.000 0.166
La 0.000 0.000 0.834
Tb 0.000 0.000 0.500
Er 0.000 0.500 0.000
Er 0.000 0.500 0.337
Er 0.000 0.500 0.663
Er 0.500 0.000 0.000
Er 0.500 0.000 0.337
Er 0.500 0.000 0.663
Er 0.500 0.500 0.169
Er 0.500 0.500 0.500
Er 0.500 0.500 0.831

Its space-group type is P4/mmm. Its energy of formation from the pure elements is 0.033 eV per atom. Its crystal system is tetragonal. The value obtained for the volume is 381.3 Å³/f.u.